No. 1
This record from Alexandria via LeMat-Bulk describes a relaxed BaBeCo2P crystal. The functional is GGA-PBE.

Unit cell a=4.9000 b=5.6054 c=4.9000 alpha=90.00 beta=90.00 gamma=90.00
With the nearest neighbours (Å) after each atom.
Element x y z (fractional)
Ba (0.0000, 0.0000, 0.0000)  4 Co 2.45
Co (0.5000, 0.0000, 0.0000)  2 Ba 2.45
Co (0.0000, 0.0000, 0.5000)  2 Ba 2.45
Be (0.5000, 0.5000, 0.5000)  4 P 3.46, 8 Co 3.72
P (0.0000, 0.5000, 0.0000)  2 Ba 2.80

Calculated values
* DFT formation energy: 12.02 eV per formula unit
* final energy: -2.649 eV/atom

***

No. 2
This record from Alexandria via LeMat-Bulk describes a relaxed Ba2BeCoPb crystal. The functional is GGA-PBE.

Unit cell a=6.7071 b=4.5196 c=6.7071 alpha=90.00 beta=90.00 gamma=90.00
With the nearest neighbours (Å) after each atom.
Element x y z (fractional)
Ba (0.0000, 0.0000, 0.5000)  2 Pb 3.35
Ba (0.5000, 0.0000, 0.0000)  2 Pb 3.35
Pb (0.0000, 0.0000, 0.0000)  2 Be 2.26
Co (0.5000, 0.5000, 0.5000)  8 Ba 4.04, 2 Co 4.52
Be (0.0000, 0.5000, 0.0000)  2 Pb 2.26

Calculated values
* DFT formation energy: 3.55 eV per formula unit
* final energy: -2.968 eV/atom

***

No. 3
This record from Alexandria via LeMat-Bulk describes a relaxed BaBeCoSe2 crystal. The functional is GGA-PBE.

Unit cell a=4.6410 b=5.4846 c=4.6410 alpha=90.00 beta=90.00 gamma=90.00
With the nearest neighbours (Å) after each atom.
Element x y z (fractional)
Ba (0.0000, 0.5000, 0.0000)  2 Be 2.74
Co (0.5000, 0.5000, 0.5000)  4 Ba 3.28, 8 Se 3.59
Se (0.5000, 0.0000, 0.0000)  2 Be 2.32
Se (0.0000, 0.0000, 0.5000)  2 Be 2.32
Be (0.0000, 0.0000, 0.0000)  4 Se 2.32

Calculated values
* final energy: -3.590 eV/atom
* uncorrected formation energy: 34.2 kJ/mol of atoms

***

No. 4
This record from Alexandria via LeMat-Bulk describes a relaxed Ba2BeCoTe crystal. The functional is GGA-PBE.

Unit cell a=6.5561 b=4.5963 c=6.5561 alpha=90.00 beta=90.00 gamma=90.00
With the nearest neighbours (Å) after each atom.
Element x y z (fractional)
Te (0.0000, 0.0000, 0.0000)  2 Be 2.30
Ba (0.0000, 0.0000, 0.5000)  2 Te 3.28
Ba (0.5000, 0.0000, 0.0000)  2 Te 3.28
Co (0.5000, 0.5000, 0.5000)  8 Ba 4.00
Be (0.0000, 0.5000, 0.0000)  2 Te 2.30

Calculated values
* final energy: -3.077 eV/atom
* uncorrected formation energy: 47.0 kJ/mol of atoms

***

No. 5
This record from Alexandria via LeMat-Bulk describes a relaxed BaBeCr3 crystal. The functional is GGA-PBE.

Unit cell a=4.7134 b=4.7134 c=4.7134 alpha=90.00 beta=90.00 gamma=90.00
With the nearest neighbours (Å) after each atom.
Element x y z (fractional)
Cr (0.0000, 0.5000, 0.0000)  2 Be 2.36
Cr (0.5000, 0.0000, 0.0000)  2 Be 2.36
Cr (0.0000, 0.0000, 0.5000)  2 Be 2.36
Ba (0.5000, 0.5000, 0.5000)  12 Cr 3.33
Be (0.0000, 0.0000, 0.0000)  6 Cr 2.36

Calculated values
* DFT formation energy: 4.92 eV per formula unit
* final energy: -5.920 eV/atom

***

No. 6
This record from Alexandria via LeMat-Bulk describes a relaxed BaBeCr2 crystal. The functional is GGA-PBE.

Unit cell a=4.4942 b=5.4237 c=3.1414 alpha=74.32 beta=87.33 gamma=113.63
With the nearest neighbours (Å) after each atom.
Element x y z (fractional)
Cr (0.5000, 0.0000, 0.5000)  4 Cr 2.68-2.80, 2 Ba 2.74, 2 Be 2.74
Cr (0.0000, 0.0000, 0.0000)  4 Cr 2.68-2.80, 2 Be 2.74, 2 Ba 2.74
Ba (0.0000, 0.5000, 0.5000)  4 Be 2.68-2.80, 4 Cr 2.74
Be (0.5000, 0.5000, 0.0000)  4 Ba 2.68-2.80, 4 Cr 2.74

Calculated values
* DFT formation energy: 6.15 eV per formula unit
* final energy: -4.687 eV/atom

***

No. 7
This record from Alexandria via LeMat-Bulk describes a relaxed Ba2BeCr crystal. The functional is GGA-PBE.

Unit cell a=5.7221 b=5.7222 c=4.0656 alpha=90.00 beta=90.00 gamma=90.04
With the nearest neighbours (Å) after each atom.
Element x y z (fractional)
Be (0.5000, 0.0000, 0.5000)  8 Ba 3.51
Cr (0.0000, 0.5000, 0.5000)  8 Ba 3.51
Ba (0.5000, 0.5000, 0.0000)  4 Cr 3.51, 4 Be 3.51
Ba (0.0000, 0.0000, 0.0000)  4 Be 3.51, 4 Cr 3.51

Calculated values
* DFT formation energy: 2.98 eV per formula unit
* final energy: -3.554 eV/atom

***

No. 8
This record from Alexandria via LeMat-Bulk describes a relaxed Ba2BeCr crystal. The functional is GGA-PBE.

Unit cell a=3.6131 b=3.6131 c=9.4136 alpha=90.00 beta=90.00 gamma=90.00
With the nearest neighbours (Å) after each atom.
Element x y z (fractional)
Be (0.0000, 0.0000, 0.5847)  4 Cr 2.64
Ba (0.0000, 0.0000, 0.9259)  1 Be 3.21
Ba (0.5000, 0.5000, 0.3353)  1 Cr 3.00
Cr (0.5000, 0.5000, 0.6541)  4 Be 2.64

Calculated values
* DFT formation energy: 2.57 eV per formula unit
* final energy: -3.657 eV/atom